{"formula": "LiFeSi6O14", "functional": "GGA-PBEsol", "state": "optimized geometry", "lattice": [[-3.6724, 7.6929, 9.5178], [3.6724, -7.6929, 9.5178], [3.6724, 7.6929, -9.5178]], "species": ["Li", "Li", "Li", "Li", "Fe", "Fe", "Fe", "Fe", "Si", "Si", "Si", "Si", "Si", "Si", "Si", "Si", "Si", "Si", "Si", "Si", "Si", "Si", "Si", "Si", "Si", "Si", "Si", "Si", "Si", "Si", "Si", "Si", "O", "O", "O", "O", "O", "O", "O", "O", "O", "O", "O", "O", "O", "O", "O", "O", "O", "O", "O", "O", "O", "O", "O", "O", "O", "O", "O", "O", "O", "O", "O", "O", "O", "O", "O", "O", "O", "O", "O", "O", "O", "O", "O", "O", "O", "O", "O", "O", "O", "O", "O", "O", "O", "O", "O", "O"], "fractional_positions": [[0.0000, 0.0000, 0.0000], [0.2500, 0.7500, 0.5000], [0.5000, 0.5000, 0.0000], [0.7500, 0.2500, 0.5000], [0.0560, 0.7500, 0.3060], [0.4440, 0.7500, 0.6940], [0.5560, 0.2500, 0.3060], [0.9440, 0.2500, 0.6940], [0.0290, 0.9888, 0.7085], [0.0776, 0.3811, 0.1543], [0.1289, 0.7020, 0.8309], [0.1688, 0.2782, 0.4471], [0.2197, 0.5112, 0.0402], [0.2267, 0.9233, 0.8457], [0.2733, 0.1189, 0.6965], [0.2803, 0.3205, 0.2915], [0.3312, 0.7782, 0.1094], [0.3711, 0.2020, 0.5731], [0.4224, 0.5767, 0.3035], [0.4710, 0.1795, 0.9598], [0.5290, 0.8205, 0.0402], [0.5776, 0.4233, 0.6965], [0.6289, 0.7980, 0.4269], [0.6688, 0.2218, 0.8906], [0.7197, 0.6795, 0.7085], [0.7267, 0.8811, 0.3035], [0.7733, 0.0767, 0.1543], [0.7803, 0.4888, 0.9598], [0.8312, 0.7218, 0.5529], [0.8711, 0.2980, 0.1691], [0.9224, 0.6189, 0.8457], [0.9710, 0.0112, 0.2915], [0.0063, 0.7142, 0.8510], [0.0069, 0.0823, 0.4771], [0.0459, 0.2262, 0.9207], [0.0632, 0.1032, 0.3020], [0.0707, 0.5973, 0.3007], [0.1053, 0.5823, 0.0754], [0.1319, 0.4839, 0.6158], [0.1368, 0.8447, 0.8510], [0.1493, 0.9484, 0.7450], [0.1946, 0.2738, 0.8197], [0.1988, 0.2388, 0.3020], [0.2034, 0.4043, 0.2550], [0.2034, 0.9027, 0.4735], [0.2259, 0.7866, 0.0125], [0.2741, 0.2866, 0.5607], [0.2966, 0.5516, 0.2009], [0.2966, 0.7700, 0.6993], [0.3011, 0.6032, 0.0400], [0.3054, 0.1251, 0.0793], [0.3507, 0.0957, 0.7991], [0.3632, 0.2142, 0.7079], [0.3681, 0.9839, 0.3521], [0.3947, 0.4702, 0.4771], [0.4293, 0.7300, 0.5265], [0.4368, 0.7388, 0.0400], [0.4541, 0.3749, 0.1803], [0.4931, 0.9702, 0.0754], [0.4937, 0.3447, 0.7079], [0.5063, 0.6553, 0.2921], [0.5069, 0.0298, 0.9246], [0.5459, 0.6251, 0.8197], [0.5632, 0.2612, 0.9600], [0.5707, 0.2700, 0.4735], [0.6053, 0.5298, 0.5229], [0.6319, 0.0161, 0.6479], [0.6368, 0.7858, 0.2921], [0.6493, 0.9043, 0.2009], [0.6946, 0.8749, 0.9207], [0.6988, 0.3968, 0.9600], [0.7034, 0.2300, 0.3007], [0.7034, 0.4484, 0.7991], [0.7259, 0.7134, 0.4393], [0.7741, 0.2134, 0.9875], [0.7966, 0.0973, 0.5265], [0.7966, 0.5957, 0.7450], [0.8012, 0.7612, 0.6980], [0.8054, 0.7262, 0.1803], [0.8507, 0.0516, 0.2550], [0.8632, 0.1553, 0.1490], [0.8681, 0.5161, 0.3842], [0.8947, 0.4177, 0.9246], [0.9293, 0.4027, 0.6993], [0.9368, 0.8968, 0.6980], [0.9541, 0.7738, 0.0793], [0.9931, 0.9177, 0.5229], [0.9937, 0.2858, 0.1490]], "formation_energy_uncorrected_ev_per_atom": -2.50, "spacegroup": "Ibam (72)", "magnetic_moment_mub_per_fu": 5.00, "dft_energy_ev_per_fu": -173.83, "crystal_system": "orthorhombic", "density_g_cm3": 2.81}



{"formula": "Cu4Si4Pb4C4ClO28", "functional": "GGA-PBEsol", "state": "optimized geometry", "lattice": [[-6.9803, 6.9803, 2.9891], [6.9803, -6.9803, 2.9891], [6.9803, 6.9803, -2.9891]], "species": ["Cu", "Cu", "Cu", "Cu", "Si", "Si", "Si", "Si", "Pb", "Pb", "Pb", "Pb", "C", "C", "C", "C", "Cl", "O", "O", "O", "O", "O", "O", "O", "O", "O", "O", "O", "O", "O", "O", "O", "O", "O", "O", "O", "O", "O", "O", "O", "O", "O", "O", "O", "O"], "fractional_positions": [[0.0000, 0.0000, 0.5000], [0.0000, 0.5000, 0.0000], [0.5000, 0.0000, 0.0000], [0.5000, 0.5000, 0.5000], [0.1140, 0.8853, 0.9993], [0.1147, 0.1140, 0.2287], [0.8853, 0.8860, 0.7713], [0.8860, 0.1147, 0.0007], [0.2712, 0.5312, 0.8024], [0.4688, 0.2712, 0.7400], [0.5312, 0.7288, 0.2600], [0.7288, 0.4688, 0.1976], [0.0697, 0.3505, 0.4202], [0.3505, 0.9303, 0.2808], [0.6495, 0.0697, 0.7192], [0.9303, 0.6495, 0.5798], [0.5000, 0.5000, 0.0000], [0.0000, 0.1352, 0.1352], [0.0000, 0.8648, 0.8648], [0.0743, 0.3884, 0.9945], [0.0798, 0.0743, 0.6860], [0.1352, 0.0000, 0.1352], [0.1604, 0.8369, 0.6273], [0.1621, 0.3550, 0.5171], [0.1631, 0.7904, 0.3235], [0.2026, 0.6930, 0.8956], [0.2096, 0.5331, 0.3727], [0.3070, 0.2026, 0.5096], [0.3550, 0.8379, 0.1929], [0.3884, 0.3938, 0.3140], [0.3938, 0.0798, 0.0055], [0.4669, 0.8396, 0.6765], [0.5331, 0.1604, 0.3235], [0.6062, 0.9202, 0.9945], [0.6116, 0.6062, 0.6860], [0.6450, 0.1621, 0.8071], [0.6930, 0.7974, 0.4904], [0.7904, 0.4669, 0.6273], [0.7974, 0.3070, 0.1044], [0.8369, 0.2096, 0.6765], [0.8379, 0.6450, 0.4829], [0.8396, 0.1631, 0.3727], [0.8648, 0.0000, 0.8648], [0.9202, 0.9257, 0.3140], [0.9257, 0.6116, 0.0055]], "formation_energy_uncorrected_ev_per_atom": -1.34, "spacegroup": "I4/m (87)", "magnetic_moment_mub_per_fu": 5.18, "dft_energy_ev_per_fu": -304.03, "crystal_system": "tetragonal", "density_g_cm3": 4.92}



{"formula": "ErSi2Pd2", "functional": "GGA-PBEsol", "state": "optimized geometry", "lattice": [[-2.0348, 2.0348, 4.9484], [2.0348, -2.0348, 4.9484], [2.0348, 2.0348, -4.9484]], "species": ["Er", "Si", "Si", "Pd", "Pd"], "fractional_positions": [[0.0000, 0.0000, 0.0000], [0.3841, 0.3841, 0.0000], [0.6159, 0.6159, 0.0000], [0.2500, 0.7500, 0.5000], [0.7500, 0.2500, 0.5000]], "formation_energy_uncorrected_ev_per_atom": -1.00, "spacegroup": "I4/mmm (139)", "magnetic_moment_mub_per_fu": 0.00, "dft_energy_ev_per_fu": -33.32, "crystal_system": "tetragonal", "density_g_cm3": 8.84}